Record 1
! Cr2CuPt2 (PBE, relaxed); values from VASP
! - formation enthalpy at 0 K (eV per formula unit) = 0.681
! - E above lowest polymorph (eV/atom) = 0.036
&SYSTEM
  ibrav = 0, nat = 10, ntyp = 3
/
ATOMIC_SPECIES
Cu 63.55 Cu.upf
Cr 52.00 Cr.upf
Pt 195.08 Pt.upf
CELL_PARAMETERS angstrom
-5.6220 -4.4991 1.7155
3.0799 -5.3873 -4.0353
1.3230 -0.8404 2.1317
ATOMIC_POSITIONS crystal
Cu 0.5000 0.5000 0.0000
Cu 0.0000 0.0000 0.0000
Cr 0.1688 0.6688 0.5000
Cr 0.3312 0.1688 0.5000
Cr 0.8312 0.3312 0.5000
Cr 0.6688 0.8312 0.5000
Pt 0.8702 0.6298 0.0000
Pt 0.1298 0.3702 0.0000
Pt 0.3702 0.8702 0.0000
Pt 0.6298 0.1298 0.0000


Record 2
! CrCu2Pt (PBE, relaxed); values from VASP
! - formation enthalpy at 0 K (eV per formula unit) = -0.103
&SYSTEM
  ibrav = 0, nat = 4, ntyp = 3
/
ATOMIC_SPECIES
Cu 63.55 Cu.upf
Pt 195.08 Pt.upf
Cr 52.00 Cr.upf
CELL_PARAMETERS angstrom
4.6755 -0.0435 -0.0430
1.7109 4.3514 0.0430
-3.1716 -2.1860 2.6507
ATOMIC_POSITIONS crystal
Cu 0.5001 0.5001 0.0000
Cu 0.9999 0.9999 0.0000
Pt 0.7500 0.2500 0.5000
Cr 0.2500 0.7500 0.5000


Record 3
! CrCu2Pt (PBE, relaxed); values from VASP
! - formation enthalpy at 0 K (eV per formula unit) = 0.126
&SYSTEM
  ibrav = 0, nat = 4, ntyp = 3
/
ATOMIC_SPECIES
Pt 195.08 Pt.upf
Cu 63.55 Cu.upf
Cr 52.00 Cr.upf
CELL_PARAMETERS angstrom
4.5840 0.0062 -0.0140
3.7328 2.6607 -0.0140
0.9199 0.2950 4.4565
ATOMIC_POSITIONS crystal
Pt 0.5011 0.5011 0.4880
Cu 0.7478 0.7478 0.7682
Cu 0.0012 0.0012 0.9845
Cr 0.2499 0.2499 0.2593


Record 4
! CrCu2Pt (PBE, relaxed); values from VASP
! - formation enthalpy at 0 K (eV per formula unit) = 0.242
&SYSTEM
  ibrav = 0, nat = 4, ntyp = 3
/
ATOMIC_SPECIES
Cr 52.00 Cr.upf
Pt 195.08 Pt.upf
Cu 63.55 Cu.upf
CELL_PARAMETERS angstrom
-0.1631 -1.8974 -2.0452
3.0301 -1.6574 1.2960
-3.0031 -3.0734 3.0908
ATOMIC_POSITIONS crystal
Cr 0.5000 0.5000 0.7500
Pt 0.5000 0.5000 0.2500
Cu 0.0000 0.0000 0.5049
Cu 0.0000 0.0000 0.9951


Record 5
! CrCuPt2 (PBE, relaxed); values from VASP
! - formation enthalpy at 0 K (eV per formula unit) = -0.480
&SYSTEM
  ibrav = 0, nat = 4, ntyp = 3
/
ATOMIC_SPECIES
Cr 52.00 Cr.upf
Pt 195.08 Pt.upf
Cu 63.55 Cu.upf
CELL_PARAMETERS angstrom
2.7919 0.0000 0.0000
0.0000 3.8285 0.0000
0.0000 0.0000 5.3807
ATOMIC_POSITIONS crystal
Cr 0.0000 0.0000 0.4950
Pt 0.5000 0.5000 0.2710
Pt 0.0000 0.0000 0.9779
Cu 0.5000 0.5000 0.7561


Record 6
! CrCu2Pt (PBE, relaxed); values from VASP
! - formation enthalpy at 0 K (eV per formula unit) = 2.493
&SYSTEM
  ibrav = 0, nat = 8, ntyp = 3
/
ATOMIC_SPECIES
Cu 63.55 Cu.upf
Cr 52.00 Cr.upf
Pt 195.08 Pt.upf
CELL_PARAMETERS angstrom
-1.0790 -3.3146 -5.7754
-3.5329 -4.6744 3.3427
-4.3876 -2.6818 -1.5808
ATOMIC_POSITIONS crystal
Cu 0.8750 0.8624 0.7500
Cu 0.6124 0.1250 0.2500
Cu 0.3750 0.3876 0.7500
Cu 0.1376 0.6250 0.2500
Cr 0.2500 0.7500 0.5000
Cr 0.5000 0.5000 0.0000
Pt 0.0000 0.0000 0.0000
Pt 0.7500 0.2500 0.5000


Number 1: size of the total moment 0.00 μB/f.u.. Number 2: size of the total moment 3.45 μB/f.u.. Number 3: size of the total moment 3.23 μB/f.u.. Number 4: size of the total moment 3.56 μB/f.u.. Number 5: size of the total moment 2.99 μB/f.u.. Number 6: size of the total moment 0.00 μB/f.u..